{"formula": "TmPu6S8", "functional": "PBE", "state": "relaxed", "lattice": [[0.0000, 5.6006, 5.6006], [5.6006, 0.0000, 5.6006], [5.6006, 5.6006, 0.0000]], "species": ["Tm", "Pu", "Pu", "Pu", "Pu", "Pu", "Pu", "S", "S", "S", "S", "S", "S", "S", "S"], "frac_coords": [[0.0000, 0.0000, 0.0000], [0.0000, 0.0000, 0.5000], [0.0000, 0.5000, 0.0000], [0.0000, 0.5000, 0.5000], [0.5000, 0.0000, 0.0000], [0.5000, 0.0000, 0.5000], [0.5000, 0.5000, 0.0000], [0.2436, 0.2436, 0.7564], [0.2436, 0.7564, 0.2436], [0.2436, 0.7564, 0.7564], [0.2500, 0.2500, 0.2500], [0.7500, 0.7500, 0.7500], [0.7564, 0.2436, 0.2436], [0.7564, 0.2436, 0.7564], [0.7564, 0.7564, 0.2436]], "raw_formation_energy_mev_per_atom": -1798, "magnetic_moment_mub_per_cell": 33.9, "dft_energy_ev_per_atom": -10.0301}